[1]
First-principles (GGA-PBE) data for an optimized crystal structure of Sm2Y3Er, as listed in Alexandria.

abc: 6.0295 12.2924 12.2924
angles: 46.49 42.84 42.84
Atoms (fractional coordinates):
Sm (0.1531, 0.1483, 0.5864)
Sm (0.8469, 0.8517, 0.4136)
Sm (0.6531, 0.5864, 0.1483)
Sm (0.3469, 0.4136, 0.8517)
Y (0.2500, 0.3896, 0.6104)
Y (0.4325, 0.6843, 0.8511)
Y (0.0675, 0.1489, 0.3157)
Y (0.5675, 0.3157, 0.1489)
Y (0.9325, 0.8511, 0.6843)
Y (0.7500, 0.6104, 0.3896)
Er (0.5000, 0.0000, 0.0000)
Er (0.0000, 0.0000, 0.0000)

Output
E_form in eV/atom: 0.15
Magnetization in μB per atom: 0.000

[2]
First-principles (GGA-PBE) data for an optimized crystal structure of Li2In4Ga3, as listed in Alexandria.

abc: 4.4418 5.3799 9.2938
angles: 72.50 89.77 66.23
Atoms (fractional coordinates):
Li (0.6646, 0.6689, 0.2213)
Li (0.3354, 0.3311, 0.7787)
Ga (0.6700, 0.6591, 0.5497)
Ga (0.0000, 0.0000, 0.0000)
Ga (0.3300, 0.3409, 0.4503)
In (0.6669, 0.6668, 0.8827)
In (0.3331, 0.3332, 0.1173)
In (0.9961, 0.0142, 0.6650)
In (0.0039, 0.9858, 0.3350)

Output
E_form in eV/atom: -0.10
Magnetization in μB per atom: 0.000

[3]
First-principles (GGA-PBE) data for an optimized crystal structure of SmTh3Co, as listed in Alexandria.

abc: 5.3560 5.3560 5.3560
angles: 90.00 90.00 90.00
Atoms (fractional coordinates):
Sm (0.5000, 0.5000, 0.5000)
Th (0.5000, 0.0000, 0.0000)
Th (0.0000, 0.5000, 0.0000)
Th (0.0000, 0.0000, 0.5000)
Co (0.0000, 0.0000, 0.0000)

Output
E_form in eV/atom: 0.02
Magnetization in μB per atom: 0.000

[4]
First-principles (GGA-PBE) data for an optimized crystal structure of ZrPaTe4, as listed in Alexandria.

abc: 4.1411 7.0984 7.1608
angles: 90.08 90.00 90.00
Atoms (fractional coordinates):
Te (0.5000, 0.2588, 0.8218)
Te (0.5000, 0.7412, 0.1782)
Te (0.0000, 0.7496, 0.6576)
Te (0.0000, 0.2504, 0.3424)
Pa (0.0000, 0.0000, 0.0000)
Zr (0.5000, 0.0000, 0.5000)

Output
Uncorrected formation energy in eV/atom: -0.832
Magnetization in μB per atom: 0.155

[5]
First-principles (GGA-PBE) data for an optimized crystal structure of Sr7Se, as listed in Alexandria.

abc: 8.1235 8.1235 8.1235
angles: 60.00 60.00 60.00
Atoms (fractional coordinates):
Sr (0.5000, 0.0000, 0.5000)
Sr (0.5000, 0.5000, 0.5000)
Sr (0.5000, 0.0000, 0.0000)
Sr (0.0000, 0.5000, 0.0000)
Sr (0.5000, 0.5000, 0.0000)
Sr (0.0000, 0.0000, 0.5000)
Sr (0.0000, 0.5000, 0.5000)
Se (0.0000, 0.0000, 0.0000)

Output
Uncorrected formation energy in eV/atom: -0.176
Magnetization in μB per atom: 0.000

[6]
First-principles (GGA-PBE) data for an optimized crystal structure of CrRhC, as listed in Alexandria.

abc: 2.7178 9.9851 4.6903
angles: 90.00 90.00 90.00
Atoms (fractional coordinates):
C (0.0000, 0.4436, 0.2296)
C (0.5000, 0.9436, 0.2296)
C (0.5000, 0.0564, 0.7296)
C (0.0000, 0.5564, 0.7296)
Cr (0.0000, 0.9372, 0.5390)
Cr (0.5000, 0.4372, 0.5390)
Cr (0.5000, 0.5628, 0.0390)
Cr (0.0000, 0.0628, 0.0390)
Rh (0.0000, 0.7893, 0.0783)
Rh (0.5000, 0.7107, 0.5783)
Rh (0.5000, 0.2893, 0.0783)
Rh (0.0000, 0.2107, 0.5783)

Output
E_form in eV/atom: 0.11
Magnetization in μB per atom: 0.000

[7]
First-principles (GGA-PBE) data for an optimized crystal structure of RbErZnTe3, as listed in Alexandria.

abc: 4.4038 9.9632 10.6892
angles: 110.33 90.00 90.00
Atoms (fractional coordinates):
Er (0.7500, 0.3298, 0.8618)
Er (0.2500, 0.6702, 0.1382)
Te (0.7500, 0.4681, 0.1631)
Te (0.2500, 0.1127, 0.8619)
Te (0.2500, 0.7925, 0.4591)
Te (0.7500, 0.8873, 0.1381)
Te (0.7500, 0.2075, 0.5409)
Te (0.2500, 0.5319, 0.8369)
Zn (0.2500, 0.0828, 0.6068)
Zn (0.7500, 0.9172, 0.3932)
Rb (0.7500, 0.7876, 0.7579)
Rb (0.2500, 0.2124, 0.2421)

Output
Uncorrected formation energy in eV/atom: -1.058
Magnetization in μB per atom: 0.000

[8]
First-principles (GGA-PBE) data for an optimized crystal structure of Zn2TcNi, as listed in Alexandria.

abc: 4.2071 2.5585 5.0018
angles: 82.44 90.00 90.00
Atoms (fractional coordinates):
Tc (0.5000, 0.7500, 0.7500)
Zn (0.0000, 0.0753, 0.0073)
Zn (0.0000, 0.4247, 0.4927)
Ni (0.5000, 0.2500, 0.2500)

Output
E_form in eV/atom: 0.04
Magnetization in μB per atom: 0.000

| no. | theoretical density (g cm⁻³) | uncorrected energy (eV per atom) |
| --- | --- | --- |
| 1 | 6.13 | -5.414 |
| 2 | 5.90 | -2.754 |
| 3 | 9.79 | -6.802 |
| 4 | 6.57 | -5.934 |
| 5 | 3.03 | -2.083 |
| 6 | 8.71 | -8.623 |
| 7 | 5.29 | -3.763 |
| 8 | 8.95 | -4.632 |